[1]
Material: AlTcTe
Method: DFT, PBE
State: relaxed

Cell lengths 4.400, 4.400, 4.400 Å; angles 60.00, 60.00, 60.00 degrees
Positions (direct):
Al: 0.750 0.750 0.750
Tc: 0.000 0.000 0.000
Te: 0.250 0.250 0.250

Calculated volume   60.2 Å³ per cell
Symmetry   No. 216
Electronic total energy   -5.58 eV/atom



[2]
Material: PaNiAs2
Method: DFT, PBE
State: relaxed

Cell lengths 9.311, 9.311, 9.311 Å; angles 154.96, 154.96, 35.71 degrees
Positions (direct):
As: 0.327 0.327 0.000
As: 0.673 0.673 0.000
As: 0.500 0.000 0.500
As: 0.000 0.500 0.500
Ni: 0.750 0.250 0.500
Ni: 0.250 0.750 0.500
Pa: 0.122 0.122 0.000
Pa: 0.878 0.878 0.000

Calculated volume   144.4 Å³ per cell
Symmetry   No. 139
Electronic total energy   -6.92 eV/atom



[3]
Material: YInFeTc
Method: DFT, PBE
State: relaxed

Cell lengths 4.653, 4.653, 4.653 Å; angles 60.00, 60.00, 60.00 degrees
Positions (direct):
Fe: 0.750 0.750 0.750
In: 0.000 0.000 0.000
Tc: 0.250 0.250 0.250
Y: 0.500 0.500 0.500

Calculated volume   71.2 Å³ per cell
Symmetry   No. 216
Electronic total energy   -6.73 eV/atom



[4]
Material: CsNd2CuTe3Se
Method: DFT, PBE
State: relaxed

Cell lengths 8.178, 8.178, 15.410 Å; angles 90.00, 90.00, 148.43 degrees
Positions (direct):
Cs: 0.905 0.095 0.250
Cs: 0.095 0.905 0.750
Cu: 0.161 0.839 0.250
Cu: 0.839 0.161 0.750
Nd: 0.635 0.365 0.070
Nd: 0.635 0.365 0.430
Nd: 0.365 0.635 0.570
Nd: 0.365 0.635 0.930
Se: 0.580 0.420 0.250
Se: 0.420 0.580 0.750
Te: 0.000 0.000 0.000
Te: 0.266 0.734 0.115
Te: 0.266 0.734 0.385
Te: 0.000 0.000 0.500
Te: 0.734 0.266 0.615
Te: 0.734 0.266 0.885

Calculated volume   539.6 Å³ per cell
Symmetry   No. 63
Electronic total energy   -4.63 eV/atom



[5]
Material: NaCoB
Method: DFT, PBE
State: relaxed

Cell lengths 4.020, 4.020, 4.020 Å; angles 60.00, 60.00, 60.00 degrees
Positions (direct):
B: 0.250 0.250 0.250
Co: 0.750 0.750 0.750
Na: 0.000 0.000 0.000

Calculated volume   46.0 Å³ per cell
Symmetry   No. 216
Electronic total energy   -2.97 eV/atom



[6]
Material: TaTc2B2
Method: DFT, PBE
State: relaxed

Cell lengths 3.613, 3.613, 5.262 Å; angles 110.08, 110.08, 90.00 degrees
Positions (direct):
B: 0.594 0.594 0.188
B: 0.406 0.406 0.812
Ta: 0.000 0.000 0.000
Tc: 0.750 0.250 0.500
Tc: 0.250 0.750 0.500

Calculated volume   60.0 Å³ per cell
Symmetry   No. 139
Electronic total energy   -9.32 eV/atom